Record 1
{"formula": "LaGdGa", "functional": "GGA-PBE", "state": "optimized geometry", "delta_e_f_mev_per_atom": -365, "crystal_system": "tetragonal", "e_tot_ev_per_atom": -7.7103, "lattice": [[-1.879, 1.879, 6.088], [1.879, -1.879, 6.088], [1.879, 1.879, -6.088]], "species": ["La", "Gd", "Ga"], "frac_coords": [[0.000, 0.000, 0.000], [0.713, 0.713, 0.000], [0.345, 0.345, 0.000]]}

Record 2
{"formula": "BaMn2VS8", "functional": "GGA-PBE", "state": "optimized geometry", "crystal_system": "trigonal", "e_tot_ev_per_atom": -5.8308, "lattice": [[2.994, 1.729, 8.387], [-2.994, 1.729, 8.387], [0.000, -3.457, 8.387]], "species": ["Ba", "Mn", "Mn", "V", "S", "S", "S", "S", "S", "S", "S", "S"], "frac_coords": [[0.000, 0.000, 0.000], [0.249, 0.249, 0.249], [0.751, 0.751, 0.751], [0.500, 0.500, 0.500], [0.116, 0.452, 0.771], [0.229, 0.884, 0.548], [0.331, 0.331, 0.331], [0.452, 0.771, 0.116], [0.548, 0.229, 0.884], [0.669, 0.669, 0.669], [0.771, 0.116, 0.452], [0.884, 0.548, 0.229]]}

Record 3
{"formula": "EuDyInPt", "functional": "GGA-PBE", "state": "optimized geometry", "delta_e_f_mev_per_atom": -646, "crystal_system": "cubic", "e_tot_ev_per_atom": -6.5601, "lattice": [[0.000, 3.682, 3.682], [3.682, 0.000, 3.682], [3.682, 3.682, 0.000]], "species": ["Eu", "Dy", "In", "Pt"], "frac_coords": [[0.000, 0.000, 0.000], [0.500, 0.500, 0.500], [0.750, 0.750, 0.750], [0.250, 0.250, 0.250]]}

Record 4
{"formula": "Tm6Tl6Sn", "functional": "GGA-PBE", "state": "optimized geometry", "delta_e_f_mev_per_atom": -155, "crystal_system": "hexagonal", "e_tot_ev_per_atom": -3.6191, "lattice": [[6.459, 0.000, 0.000], [-3.230, 5.594, 0.000], [0.000, 0.000, 10.177]], "species": ["Tm", "Tm", "Tm", "Tm", "Tm", "Tm", "Tl", "Tl", "Tl", "Tl", "Tl", "Tl", "Sn"], "frac_coords": [[0.000, 0.000, 0.188], [0.000, 0.000, 0.812], [0.333, 0.667, 0.000], [0.333, 0.667, 0.500], [0.667, 0.333, 0.000], [0.667, 0.333, 0.500], [0.000, 0.500, 0.250], [0.000, 0.500, 0.750], [0.500, 0.000, 0.250], [0.500, 0.000, 0.750], [0.500, 0.500, 0.250], [0.500, 0.500, 0.750], [0.000, 0.000, 0.500]]}

Q: Which formula does entry 3 have?
A: EuDyInPt